# 1
Compound: LaZn4Ga2
Source: Alexandria via LeMat-Bulk
Functional: PBE
Structure: optimized geometry

a = 4.197 Å, b = 4.227 Å, c = 7.610 Å
α = 106.12°, β = 90.00°, γ = 90.00°
Atoms (fractional coordinates):
Ga 0.500 0.413 0.826
La 0.000 0.000 0.000
Zn 0.500 0.813 0.626
Zn 0.000 0.692 0.385
Zn 0.500 0.187 0.374
Zn 0.000 0.308 0.615
Ga 0.500 0.587 0.174

Results
Symmetry ... Cmmm (65)
Total magnetic moment ... 0.00 μB per formula unit

=====

# 2
Compound: LaZn3Ga
Source: Alexandria via LeMat-Bulk
Functional: PBE
Structure: optimized geometry

a = 4.699 Å, b = 4.699 Å, c = 12.256 Å
α = 101.05°, β = 101.05°, γ = 90.00°
Atoms (fractional coordinates):
Ga 0.593 0.093 0.186
La 0.250 0.750 0.500
Ga 0.907 0.407 0.814
Zn 0.652 0.652 0.303
Zn 0.623 0.874 0.748
Zn 0.126 0.377 0.252
Zn 0.124 0.874 0.748
Zn 0.348 0.348 0.697
La 0.000 0.000 0.000
Zn 0.126 0.876 0.252

Results
Symmetry ... I-4m2 (119)
Total magnetic moment ... 0.00 μB per formula unit

=====

# 3
Compound: LaZnGa
Source: Alexandria via LeMat-Bulk
Functional: PBE
Structure: optimized geometry

a = 3.922 Å, b = 4.554 Å, c = 7.909 Å
α = 90.00°, β = 90.00°, γ = 90.00°
Atoms (fractional coordinates):
La 0.312 0.716 0.141
Ga 0.812 0.216 0.985
La 0.312 0.216 0.652
Ga 0.812 0.716 0.807
Zn 0.811 0.716 0.474
Zn 0.811 0.216 0.319

Results
Symmetry ... Pmma (51)
Total magnetic moment ... 0.00 μB per formula unit

=====

# 4
Compound: La2Zn5Ga3
Source: Alexandria via LeMat-Bulk
Functional: PBE
Structure: optimized geometry

a = 4.341 Å, b = 4.341 Å, c = 10.602 Å
α = 90.00°, β = 90.00°, γ = 90.00°
Atoms (fractional coordinates):
Ga 0.000 0.000 0.500
Ga 0.500 0.000 0.640
La 0.000 0.500 0.750
Zn 0.500 0.000 0.875
La 0.500 0.000 0.250
Ga 0.000 0.500 0.360
Zn 0.500 0.500 0.000
Zn 0.000 0.000 0.000
Zn 0.000 0.500 0.125
Zn 0.500 0.500 0.500

Results
Symmetry ... P-4m2 (115)
Total magnetic moment ... 0.00 μB per formula unit

=====

# 5
Compound: La2Zn7Ga
Source: Alexandria via LeMat-Bulk
Functional: PBE
Structure: optimized geometry

a = 4.408 Å, b = 4.408 Å, c = 10.236 Å
α = 90.00°, β = 90.00°, γ = 90.00°
Atoms (fractional coordinates):
La 0.000 0.500 0.251
Zn 0.000 0.000 0.000
Zn 0.000 0.000 0.500
Ga 0.500 0.500 0.000
Zn 0.500 0.000 0.132
Zn 0.500 0.500 0.500
Zn 0.000 0.500 0.627
Zn 0.000 0.500 0.868
La 0.500 0.000 0.749
Zn 0.500 0.000 0.373

Results
Symmetry ... P-4m2 (115)
Total magnetic moment ... 0.00 μB per formula unit

=====

# 6
Compound: La3Zn9Ga2
Source: Alexandria via LeMat-Bulk
Functional: PBE
Structure: optimized geometry

a = 4.574 Å, b = 8.433 Å, c = 8.433 Å
α = 65.52°, β = 74.26°, γ = 74.26°
Atoms (fractional coordinates):
Zn 0.145 0.134 0.576
Ga 0.500 0.699 0.301
Zn 0.342 0.295 0.020
Zn 0.658 0.705 0.980
Zn 0.855 0.866 0.424
Zn 0.342 0.020 0.295
Zn 0.000 0.500 0.500
Zn 0.145 0.576 0.134
La 0.301 0.699 0.699
Ga 0.500 0.301 0.699
La 0.699 0.301 0.301
Zn 0.855 0.424 0.866
Zn 0.658 0.980 0.705
La 0.000 0.000 0.000

Results
Symmetry ... Immm (71)
Total magnetic moment ... 0.00 μB per formula unit

=====

# 7
Compound: La4Zn3Ga
Source: Alexandria via LeMat-Bulk
Functional: PBE
Structure: optimized geometry

a = 5.314 Å, b = 5.314 Å, c = 9.227 Å
α = 73.26°, β = 73.26°, γ = 60.00°
Atoms (fractional coordinates):
Ga 0.000 0.000 0.000
La 0.375 0.375 0.875
Zn 0.249 0.249 0.252
La 0.875 0.875 0.375
Zn 0.751 0.751 0.748
La 0.625 0.625 0.125
Zn 0.500 0.500 0.500
La 0.125 0.125 0.625

Results
Symmetry ... R-3m (166)
Total magnetic moment ... 0.00 μB per formula unit

=====

# 8
Compound: La2Zn5Ga3
Source: Alexandria via LeMat-Bulk
Functional: PBE
Structure: optimized geometry

a = 6.121 Å, b = 8.660 Å, c = 8.660 Å
α = 75.74°, β = 69.30°, γ = 69.30°
Atoms (fractional coordinates):
Zn 0.128 0.001 0.744
La 0.876 0.371 0.877
Zn 0.750 0.500 0.500
La 0.624 0.123 0.629
Zn 0.495 0.255 0.255
Ga 0.125 0.238 0.512
Ga 0.625 0.512 0.238
La 0.124 0.629 0.123
Zn 0.005 0.745 0.745
Zn 0.505 0.745 0.745
La 0.376 0.877 0.371
Zn 0.872 0.999 0.256
Zn 0.628 0.744 0.001
Zn 0.995 0.255 0.255
Ga 0.375 0.488 0.762
Ga 0.875 0.762 0.488
Ga 0.750 0.000 0.000
Zn 0.250 0.500 0.500
Zn 0.372 0.256 0.999
Ga 0.250 0.000 0.000

Results
Symmetry ... Ibam (72)
Total magnetic moment ... 0.00 μB per formula unit

=====

# 9
Compound: LaZnGa
Source: Alexandria via LeMat-Bulk
Functional: PBE
Structure: optimized geometry

a = 4.324 Å, b = 4.327 Å, c = 8.291 Å
α = 105.14°, β = 74.86°, γ = 89.94°
Atoms (fractional coordinates):
Zn 0.024 0.780 0.849
Ga 0.272 0.030 0.350
Ga 0.440 0.864 0.017
Zn 0.190 0.614 0.518
La 0.606 0.197 0.683
La 0.856 0.447 0.183

Results
Symmetry ... C2 (5)
Total magnetic moment ... 0.00 μB per formula unit

=====

# 10
Compound: La4ZnGa
Source: Alexandria via LeMat-Bulk
Functional: PBE
Structure: optimized geometry

a = 5.212 Å, b = 5.214 Å, c = 7.290 Å
α = 89.91°, β = 89.95°, γ = 90.00°
Atoms (fractional coordinates):
La 0.501 0.998 0.747
Ga 0.501 0.497 0.998
La 0.001 0.497 0.747
La 0.502 0.997 0.249
La 0.001 0.497 0.249
Zn 0.001 0.997 0.498

Results
Symmetry ... C2/m (12)
Total magnetic moment ... 0.00 μB per formula unit

=====

# 11
Compound: La4ZnGa
Source: Alexandria via LeMat-Bulk
Functional: PBE
Structure: optimized geometry

a = 3.758 Å, b = 6.267 Å, c = 8.955 Å
α = 105.52°, β = 90.00°, γ = 107.44°
Atoms (fractional coordinates):
Ga 0.068 0.136 0.042
La 0.367 0.735 0.092
La 0.630 0.260 0.800
La 0.871 0.742 0.703
La 0.132 0.264 0.406
Zn 0.431 0.862 0.457

Results
Symmetry ... Cm (8)
Total magnetic moment ... 0.00 μB per formula unit

=====

# 12
Compound: La6ZnGa3
Source: Alexandria via LeMat-Bulk
Functional: PBE
Structure: optimized geometry

a = 5.283 Å, b = 9.487 Å, c = 11.809 Å
α = 106.81°, β = 90.00°, γ = 90.00°
Atoms (fractional coordinates):
La 0.250 0.474 0.093
Zn 0.750 0.045 0.395
La 0.250 0.650 0.677
La 0.750 0.880 0.855
La 0.750 0.159 0.682
La 0.750 0.350 0.323
La 0.250 0.254 0.503
Ga 0.250 0.536 0.383
Ga 0.750 0.630 0.218
Zn 0.250 0.955 0.605
La 0.750 0.898 0.121
Ga 0.750 0.464 0.617
La 0.750 0.746 0.497
La 0.250 0.841 0.318
Ga 0.250 0.370 0.782
La 0.750 0.526 0.907
La 0.250 0.102 0.879
Ga 0.750 0.229 0.030
La 0.250 0.120 0.145
Ga 0.250 0.771 0.970

Results
Symmetry ... P2_1/m (11)
Total magnetic moment ... 0.00 μB per formula unit

=====

# 13
Compound: La2Zn2Ga
Source: Alexandria via LeMat-Bulk
Functional: PBE
Structure: optimized geometry

a = 3.641 Å, b = 3.641 Å, c = 9.982 Å
α = 79.49°, β = 79.49°, γ = 90.00°
Atoms (fractional coordinates):
La 0.601 0.601 0.798
Ga 0.000 0.000 0.000
Zn 0.750 0.250 0.500
Zn 0.250 0.750 0.500
La 0.399 0.399 0.202

Results
Symmetry ... I4/mmm (139)
Total magnetic moment ... 0.00 μB per formula unit

=====

# 14
Compound: LaZnGa
Source: Alexandria via LeMat-Bulk
Functional: PBE
Structure: optimized geometry

a = 6.459 Å, b = 4.818 Å, c = 8.922 Å
α = 90.00°, β = 90.00°, γ = 90.00°
Atoms (fractional coordinates):
Zn 0.658 0.750 0.914
La 0.693 0.750 0.581
Zn 0.158 0.750 0.586
Ga 0.477 0.250 0.778
La 0.807 0.250 0.081
La 0.307 0.250 0.419
La 0.193 0.750 0.919
Zn 0.842 0.250 0.414
Ga 0.523 0.750 0.222
Zn 0.342 0.250 0.086
Ga 0.977 0.250 0.722
Ga 0.023 0.750 0.278

Results
Symmetry ... Pnma (62)
Total magnetic moment ... 0.00 μB per formula unit

=====

# 15
Compound: LaZnGa
Source: Alexandria via LeMat-Bulk
Functional: PBE
Structure: optimized geometry

a = 5.904 Å, b = 4.657 Å, c = 5.904 Å
α = 113.26°, β = 80.99°, γ = 113.26°
Atoms (fractional coordinates):
Ga 0.001 0.146 0.459
Zn 0.438 0.473 0.675
Ga 0.821 0.466 0.279
La 0.429 0.771 0.281
Zn 0.605 0.140 0.842
La 0.999 0.841 0.851

Results
Symmetry ... Ima2 (46)
Total magnetic moment ... 0.00 μB per formula unit

=====

# 16
Compound: LaZnGa
Source: Alexandria via LeMat-Bulk
Functional: PBE
Structure: optimized geometry

a = 4.963 Å, b = 4.963 Å, c = 4.963 Å
α = 60.00°, β = 60.00°, γ = 60.00°
Atoms (fractional coordinates):
Ga 0.250 0.250 0.250
Zn 0.750 0.750 0.750
La 0.500 0.500 0.500

Results
Symmetry ... F-43m (216)
Total magnetic moment ... 0.00 μB per formula unit

=====

# 17
Compound: LaZn3Ga
Source: Alexandria via LeMat-Bulk
Functional: PBE
Structure: optimized geometry

a = 4.355 Å, b = 4.355 Å, c = 6.055 Å
α = 69.24°, β = 69.24°, γ = 90.08°
Atoms (fractional coordinates):
Zn 0.154 0.454 0.401
Zn 0.781 0.584 0.144
Zn 0.651 0.957 0.401
La 0.404 0.208 0.898
Ga 0.018 0.821 0.669

Results
Symmetry ... Cm (8)
Total magnetic moment ... 0.00 μB per formula unit

=====

# 18
Compound: La3Zn4Ga4
Source: Alexandria via LeMat-Bulk
Functional: PBE
Structure: optimized geometry

a = 4.300 Å, b = 4.434 Å, c = 13.151 Å
α = 80.32°, β = 80.62°, γ = 90.02°
Atoms (fractional coordinates):
Ga 0.306 0.805 0.389
Zn 0.250 0.250 0.498
Zn 0.595 0.097 0.807
La 0.153 0.653 0.695
La 0.000 0.000 0.000
La 0.847 0.347 0.305
Ga 0.452 0.450 0.100
Zn 0.405 0.903 0.193
Zn 0.750 0.750 0.502
Ga 0.694 0.195 0.611
Ga 0.548 0.550 0.900

Results
Symmetry ... P-1 (2)
Total magnetic moment ... 0.00 μB per formula unit

=====

# 19
Compound: LaZnGa
Source: Alexandria via LeMat-Bulk
Functional: PBE
Structure: optimized geometry

a = 4.494 Å, b = 4.494 Å, c = 7.124 Å
α = 90.00°, β = 90.00°, γ = 90.00°
Atoms (fractional coordinates):
Ga 0.000 0.000 0.500
Zn 0.500 0.000 0.283
La 0.000 0.500 0.191
La 0.500 0.000 0.809
Ga 0.500 0.500 0.500
Zn 0.000 0.500 0.717

Results
Symmetry ... P4/nmm (129)
Total magnetic moment ... 0.11 μB per formula unit

=====

# 20
Compound: LaZn2Ga2
Source: Alexandria via LeMat-Bulk
Functional: PBE
Structure: optimized geometry

a = 8.199 Å, b = 8.199 Å, c = 3.054 Å
α = 90.00°, β = 90.00°, γ = 90.00°
Atoms (fractional coordinates):
Ga 0.369 0.869 0.000
Ga 0.869 0.631 0.000
Zn 0.841 0.341 0.500
La 0.500 0.500 0.000
Zn 0.659 0.841 0.500
La 0.000 0.000 0.000
Zn 0.341 0.159 0.500
Ga 0.631 0.131 0.000
Ga 0.131 0.369 0.000
Zn 0.159 0.659 0.500

Results
Symmetry ... P4/mbm (127)
Total magnetic moment ... 0.00 μB per formula unit

=====

Number 1: energy of formation from the pure elements -0.3373 eV per atom, uncorrected energy -2.63 eV/atom. Number 2: energy of formation from the pure elements 0.0703 eV per atom, uncorrected energy -2.28 eV/atom. Number 3: energy of formation from the pure elements -0.5110 eV per atom, uncorrected energy -3.59 eV/atom. Number 4: energy of formation from the pure elements -0.4543 eV per atom, uncorrected energy -2.98 eV/atom. Number 5: energy of formation from the pure elements -0.3658 eV per atom, uncorrected energy -2.55 eV/atom. Number 6: energy of formation from the pure elements -0.3555 eV per atom, uncorrected energy -2.66 eV/atom. Number 7: energy of formation from the pure elements -0.3827 eV per atom, uncorrected energy -3.70 eV/atom. Number 8: energy of formation from the pure elements -0.4780 eV per atom, uncorrected energy -3.01 eV/atom. Number 9: energy of formation from the pure elements -0.5037 eV per atom, uncorrected energy -3.58 eV/atom. Number 10: energy of formation from the pure elements -0.1456 eV per atom, uncorrected energy -4.15 eV/atom. Number 11: energy of formation from the pure elements -0.1228 eV per atom, uncorrected energy -4.12 eV/atom. Number 12: energy of formation from the pure elements -0.3984 eV per atom, uncorrected energy -4.39 eV/atom. Number 13: energy of formation from the pure elements -0.2407 eV per atom, uncorrected energy -3.33 eV/atom. Number 14: energy of formation from the pure elements -0.4340 eV per atom, uncorrected energy -3.51 eV/atom. Number 15: energy of formation from the pure elements -0.5400 eV per atom, uncorrected energy -3.62 eV/atom. Number 16: energy of formation from the pure elements 0.0267 eV per atom, uncorrected energy -3.05 eV/atom. Number 17: energy of formation from the pure elements -0.4329 eV per atom, uncorrected energy -2.79 eV/atom. Number 18: energy of formation from the pure elements -0.5277 eV per atom, uncorrected energy -3.44 eV/atom. Number 19: energy of formation from the pure elements -0.4414 eV per atom, uncorrected energy -3.52 eV/atom. Number 20: energy of formation from the pure elements -0.1835 eV per atom, uncorrected energy -2.89 eV/atom.